The following is a DFT calculation (PBE-GGA) of an optimized crystal structure of ErCd5Ag.

Lattice parameters (Å, degrees): 4.813 4.813 7.129 90.00 90.00 90.00
Atoms (fractional coordinates):
Er 0.000 0.000 0.000
Cd 0.500 0.000 0.715
Cd 0.000 0.500 0.715
Cd 0.500 0.500 0.000
Cd 0.000 0.500 0.285
Cd 0.500 0.000 0.285
Ag 0.000 0.000 0.500

Output
formation energy from the elements: -1.10 eV/f.u.
size of the total moment: 0.000 μB per cell
E_tot: -13.1 eV per cell